Record 1
DFT (GGA-PBE) results for a geometry-optimized TcSb2IBr structure.

Output
**SG**: P4/mmm (123)
**Energy above the lowest structure with this stoichiometry**: 0.44 eV per formula unit
**Total DFT energy (no corrections)**: -20.2 eV/f.u.
**D(E_F)**: 6.51 states/eV/f.u.
**Crystal system**: tetragonal
**Formation energy without anion corrections**: 0.323 eV/atom

Cell lengths 5.1605, 5.1605, 5.5703 Å; angles 90.00, 90.00, 90.00 degrees
With the nearest neighbours (Å) after each atom.
Fractional coordinates of all 5 atoms:
Br  0.5000  0.5000  0.5000  4 I 3.65, 8 Sb 3.80
Sb  0.0000  0.5000  0.0000  2 Tc 2.58
Sb  0.5000  0.0000  0.0000  2 Tc 2.58
I  0.0000  0.0000  0.5000  2 Tc 2.79
Tc  0.0000  0.0000  0.0000  4 Sb 2.58, 2 I 2.79

Record 2
DFT (GGA-PBE) results for a geometry-optimized TbSm4Zn2 structure.

Output
**SG**: R-3m (166)
**Total DFT energy (no corrections)**: -25.0 eV/f.u.
**D(E_F)**: 13.68 states/eV/f.u.
**Crystal system**: trigonal
**E_form**: 14.2 kJ/mol of atoms

Cell lengths 5.0644, 5.0644, 10.2873 Å; angles 75.75, 75.75, 60.00 degrees
With the nearest neighbours (Å) after each atom.
Fractional coordinates of all 7 atoms:
Sm  0.8981  0.8981  0.3056  3 Zn 3.10
Sm  0.2975  0.2975  0.1075  4 Zn 3.05-3.07
Sm  0.1019  0.1019  0.6944  3 Zn 3.10
Sm  0.7025  0.7025  0.8925  4 Zn 3.05-3.07
Zn  0.4005  0.4005  0.7986  1 Tb 2.94, 7 Sm 3.05-3.10
Zn  0.5995  0.5995  0.2014  1 Tb 2.94, 7 Sm 3.05-3.10
Tb  0.5000  0.5000  0.5000  2 Zn 2.94

Record 3
DFT (GGA-PBE) results for a geometry-optimized KCa2Co structure.

Output
**SG**: Imm2 (44)
**Energy above the lowest structure with this stoichiometry**: 0.45 eV per formula unit
**Total DFT energy (no corrections)**: -10.6 eV/f.u.
**D(E_F)**: 4.91 states/eV/f.u.
**Crystal system**: orthorhombic
**E_form**: 38.9 kJ/mol of atoms

Cell lengths 10.8683, 10.8683, 10.8683 Å; angles 160.13, 160.08, 28.28 degrees
With the nearest neighbours (Å) after each atom.
Fractional coordinates of all 4 atoms:
K  0.6861  0.1861  0.5000  4 K 3.75-3.76
Ca  0.3555  0.8555  0.5000  2 Co 2.76
Ca  0.0065  0.0065  0.0000  4 Co 2.89
Co  0.4519  0.4519  0.0000  6 Ca 2.76-2.89

Record 4
DFT (GGA-PBE) results for a geometry-optimized PrBi3Pd12 structure.

Output
**SG**: P4/mmm (123)
**Total DFT energy (no corrections)**: -84.5 eV/f.u.
**D(E_F)**: 6.75 states/eV/f.u.
**Crystal system**: tetragonal
**E_form**: -34.6 kJ/mol of atoms

Cell lengths 4.1750, 4.1750, 16.5127 Å; angles 90.00, 90.00, 90.00 degrees
With the nearest neighbours (Å) after each atom.
Fractional coordinates of all 16 atoms:
Bi  0.0000  0.0000  0.5000  12 Pd 2.92-2.95
Bi  0.0000  0.0000  0.2512  12 Pd 2.89-2.95
Bi  0.0000  0.0000  0.7488  12 Pd 2.89-2.95
Pd  0.0000  0.5000  0.6235  8 Pd 2.89-2.95, 4 Bi 2.92-2.94
Pd  0.5000  0.0000  0.3765  8 Pd 2.89-2.95, 4 Bi 2.92-2.94
Pd  0.5000  0.0000  0.8702  2 Bi 2.89, 8 Pd 2.95-2.99, 2 Pr 2.99
Pd  0.5000  0.5000  0.5000  8 Pd 2.92, 4 Bi 2.95
Pd  0.5000  0.0000  0.6235  8 Pd 2.89-2.95, 4 Bi 2.92-2.94
Pd  0.5000  0.5000  0.7443  8 Pd 2.89-2.95, 4 Bi 2.95
Pd  0.0000  0.5000  0.8702  2 Bi 2.89, 8 Pd 2.95-2.99, 2 Pr 2.99
Pd  0.5000  0.0000  0.1298  2 Bi 2.89, 8 Pd 2.95-2.99, 2 Pr 2.99
Pd  0.0000  0.5000  0.3765  8 Pd 2.89-2.95, 4 Bi 2.92-2.94
Pd  0.5000  0.5000  0.0000  4 Pr 2.95, 8 Pd 2.99
Pd  0.0000  0.5000  0.1298  2 Bi 2.89, 8 Pd 2.95-2.99, 2 Pr 2.99
Pd  0.5000  0.5000  0.2557  8 Pd 2.89-2.95, 4 Bi 2.95
Pr  0.0000  0.0000  0.0000  12 Pd 2.95-2.99

Record 5
DFT (GGA-PBE) results for a geometry-optimized CePrDyTl structure.

Output
**SG**: F-43m (216)
**Total DFT energy (no corrections)**: -17.6 eV/f.u.
**D(E_F)**: 7.28 states/eV/f.u.
**Crystal system**: cubic
**E_form**: 0.9 kJ/mol of atoms

Cell lengths 5.4927, 5.4927, 5.4927 Å; angles 60.00, 60.00, 60.00 degrees
With the nearest neighbours (Å) after each atom.
Fractional coordinates of all 4 atoms:
Tl  0.7500  0.7500  0.7500  4 Dy 3.36, 4 Pr 3.36
Dy  0.5000  0.5000  0.5000  4 Ce 3.36, 4 Tl 3.36
Ce  0.2500  0.2500  0.2500  4 Pr 3.36, 4 Dy 3.36
Pr  0.0000  0.0000  0.0000  4 Tl 3.36, 4 Ce 3.36

Record 6
DFT (GGA-PBE) results for a geometry-optimized Ca2TlHg structure.

Output
**SG**: F-43m (216)
**Total DFT energy (no corrections)**: -7.6 eV/f.u.
**D(E_F)**: 2.01 states/eV/f.u.
**Crystal system**: cubic
**E_form**: -21.3 kJ/mol of atoms

Cell lengths 5.4347, 5.4347, 5.4347 Å; angles 60.00, 60.00, 60.00 degrees
With the nearest neighbours (Å) after each atom.
Fractional coordinates of all 4 atoms:
Ca  0.0000  0.0000  0.0000  4 Tl 3.33, 4 Ca 3.33
Ca  0.2500  0.2500  0.2500  4 Hg 3.33, 4 Ca 3.33
Tl  0.7500  0.7500  0.7500  4 Hg 3.33, 4 Ca 3.33
Hg  0.5000  0.5000  0.5000  4 Tl 3.33, 4 Ca 3.33

Record 7
DFT (GGA-PBE) results for a geometry-optimized Cs2PaHg2O6 structure.

Output
**SG**: R-3m (166)
**Total DFT energy (no corrections)**: -59.2 eV/f.u.
**D(E_F)**: 9.93 states/eV/f.u.
**Crystal system**: trigonal
**Formation energy without anion corrections**: -1.604 eV/atom

Cell lengths 6.6390, 6.6390, 7.3797 Å; angles 63.27, 63.27, 60.00 degrees
With the nearest neighbours (Å) after each atom.
Fractional coordinates of all 11 atoms:
O  0.2188  0.7750  0.7873  1 Hg 2.13, 1 Pa 2.17
O  0.7812  0.7812  0.2127  1 Hg 2.13, 1 Pa 2.17
O  0.2188  0.2188  0.7873  1 Hg 2.13, 1 Pa 2.17
O  0.7750  0.2188  0.7873  1 Hg 2.13, 1 Pa 2.17
O  0.2250  0.7812  0.2127  1 Hg 2.13, 1 Pa 2.17
O  0.7812  0.2250  0.2127  1 Hg 2.13, 1 Pa 2.17
Hg  0.4088  0.4088  0.7737  3 O 2.13
Hg  0.5912  0.5912  0.2263  3 O 2.13
Cs  0.7874  0.7874  0.6379  9 O 3.18-3.46
Cs  0.2126  0.2126  0.3621  9 O 3.18-3.46
Pa  0.0000  0.0000  0.0000  6 O 2.17

Record 8
DFT (GGA-PBE) results for a geometry-optimized PrZn12Cu6 structure.

Output
**SG**: R-3m (166)
**Total DFT energy (no corrections)**: -46.1 eV/f.u.
**D(E_F)**: 3.21 states/eV/f.u.
**Crystal system**: trigonal
**E_form**: -7.5 kJ/mol of atoms

Cell lengths 6.9632, 6.9632, 6.9632 Å; angles 104.39, 104.39, 104.39 degrees
With the nearest neighbours (Å) after each atom.
Fractional coordinates of all 19 atoms:
Zn  0.5000  0.8866  0.1134  4 Cu 2.44-2.54, 3 Zn 2.50-2.68
Zn  0.1430  0.4027  0.4027  3 Cu 2.49-2.52, 2 Zn 2.68
Zn  0.5973  0.8570  0.5973  3 Cu 2.49-2.52, 2 Zn 2.68
Zn  0.8866  0.1134  0.5000  4 Cu 2.44-2.54, 3 Zn 2.50-2.68
Zn  0.4027  0.4027  0.1430  3 Cu 2.49-2.52, 2 Zn 2.68
Zn  0.5000  0.1134  0.8866  4 Cu 2.44-2.54, 3 Zn 2.50-2.68
Zn  0.1134  0.8866  0.5000  4 Cu 2.44-2.54, 3 Zn 2.50-2.68
Zn  0.5973  0.5973  0.8570  3 Cu 2.49-2.52, 2 Zn 2.68
Zn  0.1134  0.5000  0.8866  4 Cu 2.44-2.54, 3 Zn 2.50-2.68
Zn  0.4027  0.1430  0.4027  3 Cu 2.49-2.52, 2 Zn 2.68
Zn  0.8570  0.5973  0.5973  3 Cu 2.49-2.52, 2 Zn 2.68
Zn  0.8866  0.5000  0.1134  4 Cu 2.44-2.54, 3 Zn 2.50-2.68
Cu  0.2779  0.7037  0.2779  7 Zn 2.44-2.54
Cu  0.7037  0.2779  0.2779  7 Zn 2.44-2.54
Cu  0.7221  0.2963  0.7221  7 Zn 2.44-2.54
Cu  0.7221  0.7221  0.2963  7 Zn 2.44-2.54
Cu  0.2963  0.7221  0.7221  7 Zn 2.44-2.54
Cu  0.2779  0.2779  0.7037  7 Zn 2.44-2.54
Pr  0.0000  0.0000  0.0000  6 Zn 3.17

Record 9
DFT (GGA-PBE) results for a geometry-optimized ReSi2Au structure.

Output
**SG**: Cm (8)
**Energy above the lowest structure with this stoichiometry**: 0.12 eV per formula unit
**Total DFT energy (no corrections)**: -26.5 eV/f.u.
**D(E_F)**: 0.45 states/eV/f.u.
**Crystal system**: monoclinic
**Formation energy without anion corrections**: 0.011 eV/atom

Cell lengths 4.5648, 4.5648, 4.5167 Å; angles 75.66, 75.66, 41.72 degrees
With the nearest neighbours (Å) after each atom.
Fractional coordinates of all 4 atoms:
Si  0.7473  0.7473  0.7308  3 Au 2.47-2.65, 2 Re 2.51
Si  0.9879  0.9879  0.0803  3 Re 2.46, 2 Au 2.68
Re  0.2650  0.2650  0.1434  5 Si 2.46-2.51
Au  0.4998  0.4998  0.5455  5 Si 2.47-2.68

Record 10
DFT (GGA-PBE) results for a geometry-optimized GaCoTcMo structure.

Output
**SG**: F-43m (216)
**Total DFT energy (no corrections)**: -31.6 eV/f.u.
**D(E_F)**: 3.02 states/eV/f.u.
**Crystal system**: cubic
**E_form**: -5.6 kJ/mol of atoms

Cell lengths 4.2842, 4.2842, 4.2842 Å; angles 60.00, 60.00, 60.00 degrees
With the nearest neighbours (Å) after each atom.
Fractional coordinates of all 4 atoms:
Ga  0.0000  0.0000  0.0000  4 Co 2.62, 4 Tc 2.62
Mo  0.5000  0.5000  0.5000  4 Co 2.62, 4 Tc 2.62
Co  0.2500  0.2500  0.2500  4 Mo 2.62, 4 Ga 2.62
Tc  0.7500  0.7500  0.7500  4 Mo 2.62, 4 Ga 2.62

Record 11
DFT (GGA-PBE) results for a geometry-optimized POsSF2 structure.

Output
**SG**: P4/mmm (123)
**Total DFT energy (no corrections)**: -22.4 eV/f.u.
**D(E_F)**: 5.32 states/eV/f.u.
**Crystal system**: tetragonal
**Formation energy without anion corrections**: 0.420 eV/atom

Cell lengths 3.6060, 6.8992, 3.6060 Å; angles 90.00, 90.00, 90.00 degrees
With the nearest neighbours (Å) after each atom.
Fractional coordinates of all 5 atoms:
S  0.0000  0.0000  0.0000  4 F 1.80
F  0.5000  0.0000  0.0000  2 S 1.80
F  0.0000  0.0000  0.5000  2 S 1.80
Os  0.5000  0.5000  0.5000  4 P 2.55
P  0.0000  0.5000  0.0000  4 Os 2.55

Record 12
DFT (GGA-PBE) results for a geometry-optimized Tl2Re3 structure.

Output
**SG**: P-3m1 (164)
**Energy above the lowest structure with this stoichiometry**: 0.00 eV per formula unit
**Total DFT energy (no corrections)**: -37.7 eV/f.u.
**D(E_F)**: 5.11 states/eV/f.u.
**Crystal system**: trigonal
**E_form**: 84.3 kJ/mol of atoms

Cell lengths 2.9418, 2.9418, 12.0653 Å; angles 90.00, 90.00, 120.00 degrees
With the nearest neighbours (Å) after each atom.
Fractional coordinates of all 5 atoms:
Tl  0.3333  0.6667  0.7941  6 Tl 2.94, 6 Re 3.01-3.06
Tl  0.6667  0.3333  0.2059  6 Tl 2.94, 6 Re 3.01-3.06
Re  0.3333  0.6667  0.4167  9 Re 2.63-2.94
Re  0.6667  0.3333  0.5833  9 Re 2.63-2.94
Re  0.0000  0.0000  0.0000  6 Re 2.94, 6 Tl 3.01

Q: Among the records above, which one has the lowest total DFT energy (no corrections)?
A: PrBi3Pd12

Q: Among the records above, which one has the lowest D(E_F)?
A: ReSi2Au